# 1
Compound: TbTh
Source: Alexandria via LeMat-Bulk
Functional: PBE-GGA
Structure: optimized geometry

Results
**Calculated volume**: 129.2 Å³/cell
**Space group**: Pmmn
**Final energy**: -23.9 eV per cell
**Relative energy among the computed polymorphs**: 29 meV/atom
**Energy of formation**: 0.08 eV per formula unit

Geometry as extended XYZ:
```
4
Lattice="3.6031 0.0000 0.0000 0.0000 5.0479 0.0000 0.0000 0.0000 7.1061" Properties=species:S:1:pos:R:3 pbc="T T T"
Tb 0.9008 1.2620 0.9299
Tb 2.7023 3.7859 6.1761
Th 0.9008 1.2620 4.3909
Th 2.7023 3.7859 2.7152
```

---

# 2
Compound: Tb3Er3Mg
Source: Alexandria via LeMat-Bulk
Functional: PBE-GGA
Structure: optimized geometry

Results
**Calculated volume**: 448.7 Å³/cell
**Space group**: R-3
**Final energy**: -57.0 eV per cell
**Relative energy among the computed polymorphs**: 82 meV/atom
**Energy of formation**: 0.66 eV per formula unit

Geometry as extended XYZ:
```
14
Lattice="3.0592 1.7662 13.8393 -3.0592 1.7662 13.8393 0.0000 -3.5324 13.8393" Properties=species:S:1:pos:R:3 pbc="T T T"
Tb -1.0263 -1.7789 18.0674
Tb -2.0537 -0.0006 23.4506
Tb -1.0274 1.7783 18.0674
Tb 1.0274 -1.7783 23.4506
Tb 2.0537 0.0006 18.0674
Tb 1.0263 1.7789 23.4506
Er -2.0351 -0.0013 15.2610
Er -1.0164 -1.7631 26.2571
Er 1.0187 -1.7618 15.2610
Er -1.0187 1.7618 26.2571
Er 1.0164 1.7631 15.2610
Er 2.0351 0.0014 26.2571
Mg 0.0000 0.0000 6.9210
Mg 0.0000 0.0000 34.5971
```